Entry 1:
Density functional theory data (PBE) for BaLiCd2Ag2 after structural relaxation.

POSCAR file:
```
BaLiCd2Ag2
1.0
-3.490 -0.139 -3.405
2.225 -4.115 1.380
-5.258 -1.022 5.431
Ba Li Cd Ag
1 1 2 2
Direct
0.000 0.000 0.000 Ba
0.000 0.000 0.500 Li
0.667 0.333 0.678 Cd
0.333 0.667 0.322 Cd
0.667 0.333 0.300 Ag
0.333 0.667 0.700 Ag
```

Output
The formation energy is -0.244 eV per atom.


Entry 2:
Density functional theory data (PBE) for TlCuPd4 after structural relaxation.

POSCAR file:
```
TlCuPd4
1.0
3.776 0.000 1.092
2.107 4.416 -0.209
0.264 -1.632 6.162
Tl Cu Pd
1 1 4
Direct
0.500 0.500 0.500 Tl
0.000 0.000 0.000 Cu
0.828 0.503 0.842 Pd
0.341 0.999 0.320 Pd
0.172 0.497 0.158 Pd
0.659 0.001 0.680 Pd
```

Output
The energy above the most stable polymorph in this dataset is 0.000 eV per atom. The formation energy is -0.122 eV per atom.